VASP calculation (PBE) on crystalline AcY4Tm5 at its relaxed geometry.

M_tot in μB per atom: 0.0000
DOS at the Fermi energy in states/eV/atom: 1.326
Uncorrected energy in eV/atom: -5.009
Crystal system: monoclinic

The structure in POSCAR format:
```
AcY4Tm5
1.0
-0.758 1.783 -3.001
1.531 -9.256 -5.885
-7.915 -2.756 2.491
Y Tm Ac
4 5 1
Direct
0.655 0.249 0.309 Y
0.028 0.742 0.055 Y
0.345 0.751 0.691 Y
0.972 0.258 0.945 Y
0.177 0.945 0.354 Tm
0.173 0.544 0.346 Tm
0.823 0.055 0.646 Tm
0.500 0.500 0.000 Tm
0.827 0.456 0.654 Tm
0.500 0.000 0.000 Ac
```